Compound: Mn2FeSi
Source: Alexandria via LeMat-Bulk
Functional: GGA-PBE
Structure: optimized geometry

Computed properties:
N(E_F): 6.832 states/eV per cell
E_form (uncorrected): -0.29 eV per atom

```
Mn2FeSi
1.0
-1.977 1.977 5.686
1.977 -1.977 5.686
1.977 1.977 -5.686
Mn Fe Si
4 2 2
Direct
0.000 0.500 0.500
0.125 0.125 0.000
0.500 0.000 0.500
0.875 0.875 0.000
0.250 0.750 0.500
0.750 0.250 0.500
0.369 0.369 0.000
0.631 0.631 0.000
```